A relaxed RbHoZn crystal. Source: the Open Quantum Materials Database, functional PBE-GGA.

Geometry as POSCAR:
```
RbHoZn
1.0
0.0000 3.8022 3.8022
3.8022 0.0000 3.8022
3.8022 3.8022 0.0000
Ho Rb Zn
1 1 1
Cartesian
1.9011 1.9011 1.9011 Ho
5.7033 5.7033 5.7033 Rb
0.0000 0.0000 0.0000 Zn
```

Computed properties:
SG: No. 216
calculated density: 4.77 g cm⁻³
final energy: -4.9 eV for the cell shown